A relaxed LiTcWO6 crystal, computed with GGA+U.

Lattice parameters (Å, degrees): 4.758 4.758 9.037 90.00 90.00 90.00
Element x y z (fractional)
Li1 0.000 0.000 0.000
Li2 0.500 0.500 0.500
Tc1 0.000 0.000 0.327
Tc2 0.500 0.500 0.827
W1 0.000 0.000 0.667
W2 0.500 0.500 0.167
O1 0.185 0.185 0.498
O2 0.210 0.210 0.814
O3 0.211 0.211 0.178
O4 0.289 0.711 0.678
O5 0.290 0.710 0.314
O6 0.315 0.685 0.998
O7 0.685 0.315 0.998
O8 0.710 0.290 0.314
O9 0.711 0.289 0.678
O10 0.789 0.789 0.178
O11 0.790 0.790 0.814
O12 0.815 0.815 0.498

Values from the calculation:
Total moment in μB/atom: 0.22
Total DFT energy (no corrections) in eV/atom: -7.200
Symmetry: P4_2nm (102)